Ho2Te3 | GGA-PBE | relaxed

Lattice parameters (Å, degrees): 8.6838 12.2582 25.9803 90.00 90.00 90.00
Closest atoms and distances in Å follow each position.
Space group Fddd (No. 70, origin choice 2)
Inequivalent atoms, fractional coordinates:
Ho: 0.1250 0.1250 0.0424 (multiplicity 16)  6 Te 3.07-3.08
Ho: 0.1250 0.1250 0.3750 (multiplicity 16)  6 Te 3.06-3.07
Te: 0.1223 0.3750 0.8750 (multiplicity 16)  4 Ho 3.06-3.07
Te: 0.1246 0.3744 0.5418 (multiplicity 32)  4 Ho 3.06-3.08

E_tot in eV for the cell shown: -409.42